Entry 1:
This record from the Alexandria database describes an optimized crystal structure of ErRhPb2O6. The functional is GGA-PBE.

The formation energy without anion corrections comes out at -1.5500 eV/atom. The magnetization comes out at 0.0 μB/cell. The density of states at the Fermi level is 0.515 states/eV per atom. The energy is -6.458 eV per atom.

It has space group P2_1/c (No. 14), with a = 5.770 Å, b = 5.844 Å, c = 10.034 Å, α = 90.00°, β = 125.08° and γ = 90.00°. Symmetry generates all atoms from Er at (0.000, 0.000, 0.000), Rh at (0.500, 0.000, 0.500), Pb at (0.260, 0.039, 0.752), O at (0.172, 0.028, 0.265), O at (0.271, 0.694, 0.049) and O at (0.359, 0.217, 0.045).

Entry 2:
This record from the Alexandria database describes an optimized crystal structure of ZrTi2Rh. The functional is GGA-PBE.

The energy of formation from the pure elements comes out at -1.100 eV/f.u. Its energy above the most stable polymorph in this dataset is 0.138 eV/atom. The magnetization comes out at 1.2 μB/cell. The density of states at the Fermi level is 1.553 states/eV per atom. The energy is -8.197 eV per atom.

It has space group P4/mmm (No. 123), with a = 3.845 Å, b = 3.845 Å, c = 4.757 Å, α = 90.00°, β = 90.00° and γ = 90.00°. Symmetry generates all atoms from Zr at (0.000, 0.000, 0.000), Ti at (0.000, 0.500, 0.500) and Rh at (0.500, 0.500, 0.000).

Entry 3:
This record from the Alexandria database describes an optimized crystal structure of KAl2Tl2. The functional is GGA-PBE.

The energy of formation from the pure elements comes out at 0.962 eV/f.u. Its energy above the most stable polymorph in this dataset is 0.114 eV/atom. The magnetization comes out at 0.0 μB/cell. The density of states at the Fermi level is 0.379 states/eV per atom. The energy is -2.471 eV per atom.

It has space group P4/mbm (No. 127), with a = 8.948 Å, b = 8.948 Å, c = 3.426 Å, α = 90.00°, β = 90.00° and γ = 90.00°. Symmetry generates all atoms from K at (0.000, 0.000, 0.000), Al at (0.134, 0.366, 0.500) and Tl at (0.153, 0.653, 0.000).

Which of these has the highest magnetization? ZrTi2Rh